(1)
The following is a DFT calculation (GGA-PBE) of Pd2AuCl8 after structural relaxation.

The structure in CIF format:
```
data_Pd2AuCl8
_cell_length_a 8.875
_cell_length_b 8.875
_cell_length_c 4.702
_cell_angle_alpha 99.23
_cell_angle_beta 99.23
_cell_angle_gamma 64.95
_symmetry_space_group_name_H-M 'P 1'
_symmetry_Int_Tables_number 1
loop_
_symmetry_equiv_pos_as_xyz
'x,y,z'
loop_
_atom_site_label
_atom_site_type_symbol
_atom_site_fract_x
_atom_site_fract_y
_atom_site_fract_z
Pd1 Pd 0.247 0.247 0.246
Pd2 Pd 0.753 0.753 0.754
Au1 Au 0.500 0.500 0.500
Cl1 Cl 0.095 0.095 0.163
Cl2 Cl 0.223 0.559 0.333
Cl3 Cl 0.269 0.269 0.758
Cl4 Cl 0.441 0.777 0.667
Cl5 Cl 0.559 0.223 0.333
Cl6 Cl 0.731 0.731 0.242
Cl7 Cl 0.777 0.441 0.667
Cl8 Cl 0.905 0.905 0.837
```

Magnetic moment   1.4 μB per cell
D(E_F)   0.49 states/eV/atom
ρ   3.495 Mg/m³
ΔE_f (raw)   -198 meV per atom
Space-group type   C2/m (12)

(2)
The following is a DFT calculation (GGA-PBE) of PdAu2Cl6 after structural relaxation.

The structure in CIF format:
```
data_PdAu2Cl6
_cell_length_a 8.622
_cell_length_b 8.622
_cell_length_c 7.128
_cell_angle_alpha 97.98
_cell_angle_beta 97.98
_cell_angle_gamma 82.82
_symmetry_space_group_name_H-M 'P 1'
_symmetry_Int_Tables_number 1
loop_
_symmetry_equiv_pos_as_xyz
'x,y,z'
loop_
_atom_site_label
_atom_site_type_symbol
_atom_site_fract_x
_atom_site_fract_y
_atom_site_fract_z
Pd1 Pd 0.001 0.999 0.750
Pd2 Pd 0.999 0.001 0.250
Au1 Au 0.179 0.327 0.600
Au2 Au 0.327 0.179 0.100
Au3 Au 0.673 0.821 0.900
Au4 Au 0.821 0.673 0.400
Cl1 Cl 0.017 0.727 0.200
Cl2 Cl 0.019 0.724 0.686
Cl3 Cl 0.273 0.983 0.300
Cl4 Cl 0.276 0.981 0.814
Cl5 Cl 0.367 0.368 0.890
Cl6 Cl 0.368 0.367 0.390
Cl7 Cl 0.632 0.633 0.610
Cl8 Cl 0.633 0.632 0.110
Cl9 Cl 0.724 0.019 0.186
Cl10 Cl 0.727 0.017 0.700
Cl11 Cl 0.981 0.276 0.314
Cl12 Cl 0.983 0.273 0.800
```

Magnetic moment   2.0 μB per cell
D(E_F)   0.77 states/eV/atom
ρ   4.583 Mg/m³
E above lowest polymorph   0 meV per atom
ΔE_f (raw)   -264 meV per atom
Space-group type   C2/c (15)